Entry 1:
A plane-wave DFT calculation with GGA-PBE was carried out for an optimized crystal structure of BaYTcF2.

Calculated values
calculated volume = 119 Å³/cell
space-group type = P4/mmm (123)
calculated total energy = -5.03 eV per atom
total magnetization = 0.24 μB/atom

Geometry as POSCAR:
```
BaYTcF2
1.0
4.8101 0.0000 0.0000
0.0000 4.8101 0.0000
0.0000 0.0000 5.1441
Ba Y Tc F
1 1 1 2
direct
0.0000 0.0000 0.0000
0.5000 0.5000 0.0000
0.5000 0.5000 0.5000
0.0000 0.5000 0.5000
0.5000 0.0000 0.5000
```

=====

Entry 2:
A plane-wave DFT calculation with GGA-PBE was carried out for an optimized crystal structure of As3Br.

Calculated values
calculated volume = 439 Å³/cell
space-group type = I4/mmm (139)
calculated total energy = -3.59 eV per atom
total magnetization = 0.00 μB/atom
offset from the most stable computed form = 0.2227 eV/atom

Geometry as POSCAR:
```
As3Br
1.0
3.8664 0.0000 0.0000
0.0000 3.8664 0.0000
0.0000 0.0000 29.3399
As Br
12 4
direct
0.0000 0.0000 0.0661
0.0000 0.0000 0.9339
0.0000 0.5000 0.0000
0.0000 0.5000 0.2500
0.0000 0.5000 0.5000
0.0000 0.5000 0.7500
0.5000 0.0000 0.0000
0.5000 0.0000 0.2500
0.5000 0.0000 0.5000
0.5000 0.0000 0.7500
0.5000 0.5000 0.4339
0.5000 0.5000 0.5661
0.0000 0.0000 0.3886
0.0000 0.0000 0.6114
0.5000 0.5000 0.1114
0.5000 0.5000 0.8886
```

=====

Entry 3:
A plane-wave DFT calculation with GGA-PBE was carried out for an optimized crystal structure of Fe7Te6.

Calculated values
calculated volume = 279 Å³/cell
space-group type = R-3m (166)
calculated total energy = -5.78 eV per atom
total magnetization = 1.38 μB/atom

Geometry as POSCAR:
```
Fe7Te6
1.0
2.6249 1.5155 11.7075
-2.6249 1.5155 11.7075
0.0000 -3.0309 11.7075
Fe Te
7 6
direct
0.0000 0.0000 0.0000
0.0871 0.0871 0.6110
0.0871 0.6110 0.0871
0.3890 0.9129 0.9129
0.6110 0.0871 0.0871
0.9129 0.3890 0.9129
0.9129 0.9129 0.3890
0.1342 0.1342 0.1342
0.3193 0.3193 0.3193
0.4269 0.4269 0.4269
0.5731 0.5731 0.5731
0.6807 0.6807 0.6807
0.8658 0.8658 0.8658
```

=====

Entry 4:
A plane-wave DFT calculation with GGA-PBE was carried out for an optimized crystal structure of SrYRuF2.

Calculated values
calculated volume = 117 Å³/cell
space-group type = P4/mmm (123)
calculated total energy = -4.81 eV per atom
total magnetization = 0.00 μB/atom

Geometry as POSCAR:
```
SrYRuF2
1.0
4.8778 0.0000 0.0000
0.0000 4.8778 0.0000
0.0000 0.0000 4.9245
Sr Y Ru F
1 1 1 2
direct
0.0000 0.0000 0.0000
0.5000 0.5000 0.0000
0.5000 0.5000 0.5000
0.0000 0.5000 0.5000
0.5000 0.0000 0.5000
```

=====

Entry 5:
A plane-wave DFT calculation with GGA-PBE was carried out for an optimized crystal structure of Ti2CuHPd.

Calculated values
calculated volume = 62 Å³/cell
space-group type = P4/mmm (123)
calculated total energy = -6.01 eV per atom
total magnetization = 0.00 μB/atom
offset from the most stable computed form = 0.0000 eV/atom

Geometry as POSCAR:
```
Ti2CuHPd
1.0
3.9697 0.0000 0.0000
0.0000 3.9697 0.0000
0.0000 0.0000 3.9166
Ti Cu H Pd
2 1 1 1
direct
0.0000 0.5000 0.0000
0.5000 0.0000 0.0000
0.0000 0.0000 0.5000
0.0000 0.0000 0.0000
0.5000 0.5000 0.5000
```

=====

Entry 6:
A plane-wave DFT calculation with GGA-PBE was carried out for an optimized crystal structure of Y5PSe4.

Calculated values
calculated volume = 240 Å³/cell
space-group type = I4/mmm (139)
calculated total energy = -6.94 eV per atom
total magnetization = 0.00 μB/atom

Geometry as POSCAR:
```
Y5PSe4
1.0
-2.0280 2.0280 14.5589
2.0280 -2.0280 14.5589
2.0280 2.0280 -14.5589
Y P Se
5 1 4
direct
0.0000 0.0000 0.0000
0.2049 0.2049 0.0000
0.4071 0.4071 0.0000
0.5929 0.5929 0.0000
0.7951 0.7951 0.0000
0.5000 0.5000 0.0000
0.1021 0.1021 0.0000
0.3043 0.3043 0.0000
0.6957 0.6957 0.0000
0.8979 0.8979 0.0000
```